1.
# Y2ScCr

A crystal of Y2ScCr relaxed with PBEsol (SCAN, Alexandria).

Lattice parameters (Å, degrees): 5.1305 5.1305 5.1305 60.00 60.00 60.00
Last column: nearest neighbours and their distance in Å.
Fractional coordinates of all 4 atoms:
Cr1 0.5000 0.5000 0.5000  4 Y 3.14, 4 Sc 3.14
Sc1 0.2500 0.2500 0.2500  4 Y 3.14, 4 Cr 3.14
Y1 0.0000 0.0000 0.0000  4 Sc 3.14, 4 Y 3.14
Y2 0.7500 0.7500 0.7500  4 Y 3.14, 4 Cr 3.14

## Properties
Its space group is F-43m. As for the total magnetization: 2.87 μB per formula unit. The energy relative to the elements comes out at 0.19 eV/atom. As for the total energy: -1.609 Ry per atom. Its crystal system is cubic.

***

2.
# YScCr3

A crystal of YScCr3 relaxed with PBEsol (SCAN, Alexandria).

Lattice parameters (Å, degrees): 4.7519 4.7519 4.7519 90.00 90.00 90.00
Last column: nearest neighbours and their distance in Å.
Fractional coordinates of all 5 atoms:
Cr1 0.5000 0.0000 0.0000  2 Y 2.38
Cr2 0.0000 0.5000 0.0000  2 Y 2.38
Cr3 0.0000 0.0000 0.5000  2 Y 2.38
Sc1 0.5000 0.5000 0.5000  12 Cr 3.36
Y1 0.0000 0.0000 0.0000  6 Cr 2.38

## Properties
Its space group is Pm-3m. As for the total magnetization: 11.38 μB per formula unit. The energy relative to the elements comes out at 1.44 eV/atom. As for the total energy: -1.324 Ry per atom. Its crystal system is cubic.

***

3.
# Y4ScCr

A crystal of Y4ScCr relaxed with PBEsol (SCAN, Alexandria).

Lattice parameters (Å, degrees): 6.2229 6.2229 6.2229 60.00 60.00 60.00
Last column: nearest neighbours and their distance in Å.
Fractional coordinates of all 6 atoms:
Y1 0.3746 0.3746 0.8761  6 Y 3.10-3.12
Y2 0.3746 0.3746 0.3746  6 Y 3.10-3.12
Y3 0.3746 0.8761 0.3746  6 Y 3.10-3.12
Y4 0.8761 0.3746 0.3746  6 Y 3.10-3.12
Sc1 0.0000 0.0000 0.0000  12 Y 3.65, 4 Cr 3.81
Cr1 0.7500 0.7500 0.7500  12 Y 3.65, 4 Sc 3.81

## Properties
Its space group is F-43m. As for the total magnetization: 5.09 μB per formula unit. The energy relative to the elements comes out at 0.52 eV/atom. As for the total energy: -1.726 Ry per atom. Its crystal system is cubic.